(1)
First-principles (PBE) data for a geometry-optimized SrLa4Pr3Se8 structure, as listed in Alexandria via LeMat-Bulk.

Results
**Energy relative to the elements, uncorrected**: -2989 kJ/mol of formula units
**V**: 28.250 Å³ per atom

Unit cell a=8.6245 b=8.6245 c=21.0512 alpha=90.00 beta=90.00 gamma=120.00
Space group R-3m (No. 166, hexagonal axes)
Unique sites:
Sr 0.0000 0.0000 0.0000 [3 per cell]
La 0.0000 0.0000 0.5000 [3 per cell]
La 0.0000 0.5000 0.5000 [9 per cell]
Pr 0.0000 0.5000 0.0000 [9 per cell]
Se 0.0000 0.0000 0.2504 [6 per cell]
Se 0.0012 0.5006 0.2502 [18 per cell]

---

(2)
First-principles (PBE) data for a geometry-optimized AcErAs2 structure, as listed in Alexandria via LeMat-Bulk.

Results
**Energy above the lowest structure with this stoichiometry**: 464.7 meV per atom
**ΔE_f**: -3.976 eV per formula unit
**V**: 25.989 Å³ per atom

Unit cell a=5.2736 b=5.2736 c=3.7380 alpha=90.00 beta=90.00 gamma=90.00
Space group P4/mmm (No. 123)
Unique sites:
Ac 0.0000 0.0000 0.0000 [1 per cell]
Er 0.5000 0.5000 0.0000 [1 per cell]
As 0.0000 0.5000 0.5000 [2 per cell]

---

(3)
First-principles (PBE) data for a geometry-optimized Dy2CO structure, as listed in Alexandria via LeMat-Bulk.

Results
**Energy above the lowest structure with this stoichiometry**: 163.8 meV per atom
**Energy relative to the elements, uncorrected**: -605 kJ/mol of formula units
**V**: 15.733 Å³ per atom

Unit cell a=3.4786 b=3.4786 c=18.0157 alpha=90.00 beta=90.00 gamma=120.00
Space group R3m (No. 160, hexagonal axes)
Unique sites:
Dy 0.0000 0.0000 0.0000 [3 per cell]
Dy 0.0000 0.0000 0.1783 [3 per cell]
C 0.0000 0.0000 0.5861 [3 per cell]
O 0.0000 0.0000 0.4124 [3 per cell]